Entry from Alexandria: an optimized crystal structure of MoPtNF2 (PBE+U).

Geometry as POSCAR:
```
MoPtNF2
1.0
4.600 0.000 0.000
0.000 4.600 0.000
0.000 0.000 3.707
Mo Pt N F
1 1 1 2
direct
0.000 0.000 0.000 Mo
0.500 0.500 0.500 Pt
0.500 0.500 0.000 N
0.000 0.500 0.500 F
0.500 0.000 0.500 F
```

Output
Total energy in eV per atom: -4.962
Offset from the most stable computed form in eV per formula unit: 1.39
DOS(E_F) in states/eV/f.u.: 2.54